No. 1
This record from the Alexandria database describes crystalline Hf2Tc2W at its relaxed geometry. The functional is PBE.

abc: 6.4983 6.4983 4.4178
angles: 90.00 90.00 90.00
Positions (direct):
Hf (0.1800, 0.3200, 0.0000)
Hf (0.3200, 0.8200, 0.0000)
Hf (0.6800, 0.1800, 0.0000)
Hf (0.8200, 0.6800, 0.0000)
Tc (0.1376, 0.6376, 0.5000)
Tc (0.3624, 0.1376, 0.5000)
Tc (0.6376, 0.8624, 0.5000)
Tc (0.8624, 0.3624, 0.5000)
W (0.0000, 0.0000, 0.5000)
W (0.5000, 0.5000, 0.5000)

Values from the calculation:
Calculated formation energy ... -0.0337 eV/atom


No. 2
This record from the Alexandria database describes crystalline ScMn2Si at its relaxed geometry. The functional is PBE.

abc: 2.9213 4.1497 4.8048
angles: 90.00 103.71 90.00
Positions (direct):
Sc (0.0000, 0.0000, 0.0000)
Mn (0.2868, 0.5000, 0.6608)
Mn (0.5825, 0.0000, 0.4988)
Si (0.5942, 0.5000, 0.2293)

Values from the calculation:
Raw formation energy ... -0.152 eV per atom


No. 3
This record from the Alexandria database describes crystalline NaAuSe2 at its relaxed geometry. The functional is PBE.

abc: 6.5702 6.5702 5.9734
angles: 101.75 101.75 121.81
Positions (direct):
Na (0.1025, 0.8975, 0.7500)
Na (0.8975, 0.1025, 0.2500)
Au (0.3522, 0.6478, 0.2500)
Au (0.6478, 0.3522, 0.7500)
Se (0.1812, 0.4715, 0.7923)
Se (0.4715, 0.1812, 0.2923)
Se (0.5285, 0.8188, 0.7077)
Se (0.8188, 0.5285, 0.2077)

Values from the calculation:
Raw formation energy ... -0.369 eV per atom


No. 4
This record from the Alexandria database describes crystalline Li2NbSb2 at its relaxed geometry. The functional is PBE.

abc: 7.5661 7.5661 3.4497
angles: 90.00 90.00 90.00
Positions (direct):
Li (0.1392, 0.3608, 0.0000)
Li (0.3608, 0.8608, 0.0000)
Li (0.6392, 0.1392, 0.0000)
Li (0.8608, 0.6392, 0.0000)
Nb (0.0000, 0.0000, 0.5000)
Nb (0.5000, 0.5000, 0.5000)
Sb (0.1620, 0.6620, 0.5000)
Sb (0.3380, 0.1620, 0.5000)
Sb (0.6620, 0.8380, 0.5000)
Sb (0.8380, 0.3380, 0.5000)

Values from the calculation:
Raw formation energy ... -0.139 eV per atom


No. 5
This record from the Alexandria database describes crystalline PmSeF at its relaxed geometry. The functional is PBE.

abc: 4.1076 4.1076 4.1058
angles: 90.00 90.00 120.00
Positions (direct):
Pm (0.0000, 0.0000, 0.0000)
Se (0.3333, 0.6667, 0.5000)
F (0.6667, 0.3333, 0.0000)

Values from the calculation:
Raw formation energy ... -2.886 eV per atom


No. 6
This record from the Alexandria database describes crystalline K3TaI8 at its relaxed geometry. The functional is PBE.

abc: 10.7051 10.7051 10.9816
angles: 90.00 90.00 120.00
Positions (direct):
K (0.1503, 0.3007, 0.0000)
K (0.1503, 0.8497, 0.0000)
K (0.3007, 0.1503, 0.5000)
K (0.6993, 0.8497, 0.0000)
K (0.8497, 0.1503, 0.5000)
K (0.8497, 0.6993, 0.5000)
Ta (0.3333, 0.6667, 0.4612)
Ta (0.6667, 0.3333, 0.9612)
I (0.0000, 0.0000, 0.2946)
I (0.0000, 0.0000, 0.7946)
I (0.0895, 0.5448, 0.3243)
I (0.2114, 0.4228, 0.6169)
I (0.2114, 0.7886, 0.6169)
I (0.3333, 0.6667, 0.9913)
I (0.4228, 0.2114, 0.1169)
I (0.4552, 0.5448, 0.3243)
I (0.4552, 0.9105, 0.3243)
I (0.5448, 0.0895, 0.8243)
I (0.5448, 0.4552, 0.8243)
I (0.5772, 0.7886, 0.6169)
I (0.6667, 0.3333, 0.4913)
I (0.7886, 0.2114, 0.1169)
I (0.7886, 0.5772, 0.1169)
I (0.9105, 0.4552, 0.8243)

Values from the calculation:
Raw formation energy ... -0.905 eV per atom


> Which formula does entry 4 have?

Li2NbSb2


Please write out number 1 again, unchanged.
This record from the Alexandria database describes crystalline Hf2Tc2W at its relaxed geometry. The functional is PBE.

abc: 6.4983 6.4983 4.4178
angles: 90.00 90.00 90.00
Positions (direct):
Hf (0.1800, 0.3200, 0.0000)
Hf (0.3200, 0.8200, 0.0000)
Hf (0.6800, 0.1800, 0.0000)
Hf (0.8200, 0.6800, 0.0000)
Tc (0.1376, 0.6376, 0.5000)
Tc (0.3624, 0.1376, 0.5000)
Tc (0.6376, 0.8624, 0.5000)
Tc (0.8624, 0.3624, 0.5000)
W (0.0000, 0.0000, 0.5000)
W (0.5000, 0.5000, 0.5000)

Values from the calculation:
Calculated formation energy ... -0.0337 eV/atom